Compound: Pr5Nd2ErTh
Source: Alexandria
Functional: PBE-GGA
Structure: relaxed

Summary:
The formation energy comes out at 0.133 eV/atom. As for the total magnetization: 0.0 μB/f.u. The total energy is -4.9137 eV per atom.

The structure in CIF format:
```
data_Pr5Nd2ErTh
_cell_length_a 5.5009
_cell_length_b 22.1309
_cell_length_c 10.6280
_cell_angle_alpha 90.00
_cell_angle_beta 90.00
_cell_angle_gamma 90.00
_symmetry_space_group_name_H-M 'C m c m'
_symmetry_Int_Tables_number 63
_symmetry_space_group_name_Hall '-C 2c 2'
loop_
_atom_site_label
_atom_site_type_symbol
_atom_site_fract_x
_atom_site_fract_y
_atom_site_fract_z
_atom_site_occupancy
Pr1 Pr 0.0000 0.0000 0.0000 1
Pr2 Pr 0.0000 0.1285 0.2500 1
Pr3 Pr 0.0000 0.2230 0.5585 1
Pr4 Pr 0.0000 0.4993 0.7500 1
Nd1 Nd 0.0000 0.3873 0.0023 1
Er1 Er 0.0000 0.1025 0.7500 1
Th1 Th 0.0000 0.2902 0.2500 1
```